(1)
# CdGa3Hg2

A relaxed structure of CdGa3Hg2 (PBE, Alexandria via LeMat-Bulk).

```
12
Lattice="3.160 0.007 0.701 0.567 5.972 4.075 -1.995 1.076 14.548" Properties=species:S:1:pos:R:3 pbc="T T T"
Ga 1.779 6.130 13.138
Ga 0.465 4.263 11.523
Ga 1.267 2.792 7.802
Ga -0.048 0.925 6.187
Ga -0.653 2.244 9.856
Ga 2.385 4.811 9.469
Hg 0.445 1.890 13.112
Hg 1.287 5.166 6.212
Hg 0.331 4.102 3.436
Hg 1.400 2.953 15.888
Cd 1.927 1.499 4.051
Cd -0.196 5.557 15.273
```

Computed properties:
E_form   0.0427 eV/atom

---

(2)
# Cd7GaHg4

A relaxed structure of Cd7GaHg4 (PBE, Alexandria via LeMat-Bulk).

```
12
Lattice="5.348 0.000 0.000 2.674 8.676 -0.165 2.674 0.231 6.537" Properties=species:S:1:pos:R:3 pbc="T T T"
Hg 2.674 2.922 0.821
Hg 5.348 6.825 2.386
Hg 5.348 2.082 3.987
Hg 8.023 5.985 5.552
Cd 2.674 1.026 3.104
Cd 2.674 5.942 0.953
Cd 5.348 3.951 1.695
Cd 2.674 0.000 0.000
Cd 8.023 2.965 5.420
Cd 8.023 7.881 3.269
Cd 5.348 4.956 4.678
Ga 0.000 0.000 0.000
```

Computed properties:
E_form   0.0656 eV/atom

---

(3)
# Cd2GaHg

A relaxed structure of Cd2GaHg (PBE, Alexandria via LeMat-Bulk).

```
8
Lattice="8.105 0.000 0.000 0.000 8.105 0.000 4.052 4.052 2.959" Properties=species:S:1:pos:R:3 pbc="T T T"
Cd 2.147 6.079 0.740
Cd 6.079 6.199 2.219
Cd 10.131 10.011 2.219
Cd 5.958 2.026 0.740
Ga 4.052 8.105 1.480
Ga 4.052 4.052 0.000
Hg 8.105 4.052 1.480
Hg 0.000 0.000 0.000
```

Computed properties:
E_form   0.0859 eV/atom

---

(4)
# Cd4GaHg

A relaxed structure of Cd4GaHg (PBE, Alexandria via LeMat-Bulk).

```
6
Lattice="-3.501 0.067 0.352 1.274 -1.496 -4.633 0.424 -6.844 5.512" Properties=species:S:1:pos:R:3 pbc="T T T"
Cd -1.558 -6.105 3.251
Cd -1.764 -2.785 0.573
Cd -0.038 -5.488 0.658
Cd -0.244 -2.169 -2.019
Ga 0.212 -3.422 2.756
Hg 0.000 0.000 0.000
```

Computed properties:
E_form   0.0357 eV/atom

---

(5)
# Cd3Ga12Hg5

A relaxed structure of Cd3Ga12Hg5 (PBE, Alexandria via LeMat-Bulk).

```
80
Lattice="13.860 0.000 0.000 -4.620 13.067 0.000 -4.620 -6.534 11.317" Properties=species:S:1:pos:R:3 pbc="T T T"
Ga -2.071 -0.068 9.481
Ga -2.399 3.228 7.310
Ga 6.154 2.081 1.652
Ga 9.479 6.466 1.835
Ga -2.399 -5.084 10.524
Ga 0.626 7.826 7.493
Ga 3.994 -1.292 3.823
Ga 6.154 10.190 3.030
Ga -2.936 7.136 8.689
Ga -0.776 7.330 4.682
Ga 6.304 7.224 6.451
Ga -3.844 10.986 1.652
Ga 6.691 6.601 1.835
Ga 2.936 1.292 3.823
Ga 3.086 5.737 4.682
Ga 4.859 1.623 10.458
Ga 1.534 0.796 6.635
Ga 7.019 11.618 0.793
Ga 7.019 3.305 4.007
Ga 9.150 1.449 0.793
Ga 8.614 0.690 4.866
Ga 4.531 1.856 6.517
Ga 2.549 4.978 0.976
Ga -1.684 -0.690 4.866
Ga 5.396 -0.796 6.635
Ga -0.239 4.910 0.859
Ga 10.016 2.877 3.030
Ga 2.549 8.157 0.859
Ga -1.534 -3.657 8.286
Ga -3.994 5.843 6.451
Ga 2.071 -1.623 10.458
Ga -4.859 0.068 9.481
Ga 2.071 1.555 10.340
Ga 2.221 8.389 4.799
Ga 2.399 -1.856 6.517
Ga 4.859 -1.555 10.340
Ga -0.239 8.089 0.976
Ga 9.329 -3.228 7.310
Ga 8.464 -4.453 9.665
Ga -4.709 9.762 4.007
Ga -1.534 4.453 9.665
Ga 0.089 4.678 4.799
Ga -5.396 3.657 8.286
Ga 5.246 5.932 8.689
Ga 7.556 -0.602 2.628
Ga -4.531 5.084 10.524
Ga -0.626 0.602 2.628
Ga 1.684 5.242 7.493
Hg 5.775 3.267 8.487
Hg 3.465 9.800 2.829
Hg 5.775 -4.083 9.902
Hg 5.775 5.717 4.244
Hg 0.000 0.000 0.000
Hg -2.310 6.534 0.000
Hg -4.620 3.267 5.658
Hg 8.085 -0.817 7.073
Hg 2.310 3.267 5.658
Hg -3.465 7.350 4.244
Hg 3.465 2.450 1.415
Hg -1.155 0.817 7.073
Hg 1.155 -3.267 8.487
Hg -1.155 10.617 1.415
Hg 6.930 0.000 0.000
Hg 1.155 4.083 9.902
Hg 4.620 6.534 0.000
Hg -2.310 -3.267 5.658
Hg 4.620 -3.267 5.658
Hg -1.155 3.267 2.829
Cd -5.775 6.534 8.487
Cd 3.465 0.000 8.487
Cd 8.085 8.984 1.415
Cd 5.775 0.817 4.244
Cd 10.395 0.000 2.829
Cd -3.465 2.450 9.902
Cd -3.465 -2.450 9.902
Cd -1.155 5.717 7.073
Cd 3.465 7.350 7.073
Cd 8.085 4.083 1.415
Cd 1.155 6.534 2.829
Cd 1.155 -0.817 4.244
```

Computed properties:
E_form   0.1787 eV/atom

---

(6)
# Cd2Ga2Hg

A relaxed structure of Cd2Ga2Hg (PBE, Alexandria via LeMat-Bulk).

```
10
Lattice="-2.785 -5.467 -6.275 7.202 1.733 -4.707 1.414 -2.253 1.335" Properties=species:S:1:pos:R:3 pbc="T T T"
Cd 2.601 -3.313 -8.348
Cd -0.603 -3.401 -5.101
Cd 5.020 -0.333 -5.881
Cd 1.815 -0.421 -2.634
Hg 0.000 0.000 0.000
Hg 2.208 -1.867 -5.491
Ga 1.002 -5.287 -6.667
Ga 4.829 -0.700 -2.980
Ga 5.339 -2.975 -7.362
Ga 0.492 -3.011 -2.285
```

Computed properties:
E_form   0.0666 eV/atom

---

(7)
# Cd5Ga2Hg

A relaxed structure of Cd5Ga2Hg (PBE, Alexandria via LeMat-Bulk).

```
8
Lattice="4.356 0.000 -0.845 -0.164 4.353 -0.845 -0.416 -0.432 9.507" Properties=species:S:1:pos:R:3 pbc="T T T"
Ga 2.936 3.049 3.488
Ga 0.840 0.872 4.330
Cd 2.614 0.453 1.828
Cd 0.354 2.630 1.828
Cd 1.162 3.468 5.990
Cd 2.096 2.176 -0.845
Cd 3.421 1.291 5.990
Hg 0.000 0.000 0.000
```

Computed properties:
E_form   0.0358 eV/atom

---

(8)
# CdGa3Hg

A relaxed structure of CdGa3Hg (PBE, Alexandria via LeMat-Bulk).

```
5
Lattice="-2.291 1.428 4.479 -4.260 -2.737 -1.306 1.988 -4.221 2.363" Properties=species:S:1:pos:R:3 pbc="T T T"
Hg -2.282 -2.765 2.768
Cd 0.000 0.000 0.000
Ga 0.994 -2.110 1.181
Ga -1.145 0.714 2.239
Ga -2.130 -1.369 -0.653
```

Computed properties:
E_form   0.4062 eV/atom

---

(9)
# CdGaHg

A relaxed structure of CdGaHg (PBE, Alexandria via LeMat-Bulk).

```
3
Lattice="3.223 0.000 0.000 0.000 4.970 0.000 0.000 -2.485 4.304" Properties=species:S:1:pos:R:3 pbc="T T T"
Cd 1.129 0.000 2.870
Ga 2.944 0.000 0.000
Hg 2.373 2.485 1.435
```

Computed properties:
E_form   0.0583 eV/atom

---

(10)
# Ho4Cd2GaHg

A relaxed structure of Ho4Cd2GaHg (PBE, Alexandria via LeMat-Bulk).

```
8
Lattice="5.201 0.000 0.000 2.600 4.504 0.000 2.600 1.501 8.492" Properties=species:S:1:pos:R:3 pbc="T T T"
Ga 5.201 3.003 4.246
Hg 0.000 0.000 0.000
Ho 5.201 3.003 7.368
Ho 2.600 1.501 5.247
Ho 7.801 4.504 3.245
Ho 5.201 3.003 1.124
Cd 7.801 4.504 6.393
Cd 2.600 1.501 2.099
```

Computed properties:
E_form   -0.4161 eV/atom

---

(11)
# Ho4CdGaHg2

A relaxed structure of Ho4CdGaHg2 (PBE, Alexandria via LeMat-Bulk).

```
8
Lattice="5.209 0.000 0.000 2.604 4.511 0.000 2.604 1.504 8.485" Properties=species:S:1:pos:R:3 pbc="T T T"
Cd 0.000 0.000 0.000
Ho 5.209 3.007 1.185
Ho 5.209 3.007 7.300
Ho 2.604 1.504 5.196
Ho 7.813 4.511 3.289
Ga 5.209 3.007 4.242
Hg 7.813 4.511 6.515
Hg 2.604 1.504 1.969
```

Computed properties:
E_form   -0.4540 eV/atom

---

(12)
# HoCdGaHg

A relaxed structure of HoCdGaHg (PBE, Alexandria via LeMat-Bulk).

```
4
Lattice="-3.412 3.395 -1.409 -4.141 0.682 2.746 -0.584 4.217 2.651" Properties=species:S:1:pos:R:3 pbc="T T T"
Cd -6.103 6.221 2.992
Hg 0.000 0.000 0.000
Ho -2.034 2.074 0.997
Ga -4.069 4.148 1.994
```

Computed properties:
E_form   -0.3422 eV/atom

---

(13)
# CdGa2HgI8

A relaxed structure of CdGa2HgI8 (PBE, Alexandria via LeMat-Bulk).

```
12
Lattice="-2.241 4.187 -5.641 -3.483 -3.996 -5.126 -10.768 1.885 3.982" Properties=species:S:1:pos:R:3 pbc="T T T"
I -5.180 -1.582 -4.288
I -4.559 2.505 -4.546
I -11.312 3.659 -2.497
I -14.985 2.014 -4.147
I -8.038 0.830 -6.200
I -8.454 1.247 -0.586
I -1.507 0.063 -2.638
I -11.933 -0.428 -2.240
Ga -10.942 1.606 -0.875
Ga -5.551 0.471 -5.911
Cd 0.000 0.000 0.000
Hg -5.384 0.943 1.991
```

---

(14)
# CdGaHgI2

A relaxed structure of CdGaHgI2 (PBE, Alexandria via LeMat-Bulk).

```
5
Lattice="5.817 0.000 0.000 0.000 5.446 0.000 0.000 0.000 5.817" Properties=species:S:1:pos:R:3 pbc="T T T"
I 0.000 0.000 2.909
I 2.909 0.000 0.000
Hg 2.909 2.723 2.909
Cd 0.000 2.723 0.000
Ga 0.000 0.000 0.000
```

---

(15)
# CdGaHg2I

A relaxed structure of CdGaHg2I (PBE, Alexandria via LeMat-Bulk).

```
5
Lattice="-1.404 -5.073 -1.512 -0.887 -1.317 5.241 -5.629 1.714 -0.522" Properties=species:S:1:pos:R:3 pbc="T T T"
Hg -0.702 -2.536 -0.756
Hg -0.444 -0.658 2.621
Ga 0.000 0.000 0.000
I -2.815 0.857 -0.261
Cd -3.960 -2.338 1.603
```

---

(16)
# Cd2Ga2HgI6

A relaxed structure of Cd2Ga2HgI6 (PBE, Alexandria via LeMat-Bulk).

```
11
Lattice="-7.583 -1.391 1.530 -6.309 -4.366 -6.628 2.450 -4.653 6.907" Properties=species:S:1:pos:R:3 pbc="T T T"
Cd -3.676 -7.077 0.332
Cd -7.766 -3.334 1.477
I -4.157 -6.127 6.489
I -5.605 -5.739 -1.166
I -8.946 -7.628 3.124
I -7.285 -4.283 -4.680
I -5.837 -4.672 2.975
I -2.496 -2.783 -1.315
Hg -2.567 -3.022 4.219
Ga -11.629 -5.968 -2.180
Ga 0.187 -4.442 3.989
```

---

(17)
# CdGaHg2I

A relaxed structure of CdGaHg2I (PBE, Alexandria via LeMat-Bulk).

```
5
Lattice="5.397 0.000 0.000 0.000 5.397 0.000 0.000 0.000 5.368" Properties=species:S:1:pos:R:3 pbc="T T T"
Cd 0.000 0.000 2.684
I 2.699 2.699 2.684
Hg 2.699 0.000 0.000
Hg 0.000 2.699 0.000
Ga 0.000 0.000 0.000
```

---

(18)
# CdIn2GaHg

A relaxed structure of CdIn2GaHg (PBE, Alexandria via LeMat-Bulk).

```
10
Lattice="-0.693 -3.488 2.371 1.955 -2.395 -2.951 12.341 2.000 6.550" Properties=species:S:1:pos:R:3 pbc="T T T"
Cd 4.705 -0.593 0.503
Cd 8.266 -0.348 5.757
In 2.056 -1.023 -0.903
In 10.916 0.081 7.163
In 9.357 0.161 2.972
In 3.614 -1.102 3.288
Hg 6.801 -1.941 2.985
Hg 6.170 1.000 3.275
Ga 11.882 0.570 4.312
Ga 1.090 -1.511 1.948
```

Computed properties:
E_form   0.1045 eV/atom

---

(19)
# Cd2In3GaHg6

A relaxed structure of Cd2In3GaHg6 (PBE, Alexandria via LeMat-Bulk).

```
12
Lattice="7.970 -0.648 -0.253 -4.545 6.579 -0.253 -1.401 -2.426 6.679" Properties=species:S:1:pos:R:3 pbc="T T T"
Ga 0.000 0.000 0.000
Hg -0.254 -0.440 4.903
Hg 2.477 -0.333 1.427
Hg -1.526 1.979 1.427
Hg 3.550 1.526 4.746
Hg -0.453 3.838 4.746
Hg 2.279 3.945 1.270
In 5.037 -0.572 3.087
In -3.013 4.077 3.087
In 1.012 1.752 3.087
Cd 3.776 1.774 -0.253
Cd -0.350 4.157 -0.253
```

Computed properties:
E_form   0.0349 eV/atom

---

(20)
# CdIn2Ga2Hg7

A relaxed structure of CdIn2Ga2Hg7 (PBE, Alexandria via LeMat-Bulk).

```
12
Lattice="-3.008 -3.793 -1.949 5.033 -2.751 -2.413 0.267 -2.487 11.414" Properties=species:S:1:pos:R:3 pbc="T T T"
Hg 0.698 -5.254 2.162
Hg 3.801 -6.169 6.139
Hg 0.462 -2.971 -1.917
Hg 0.489 -7.277 6.422
Hg -1.008 -3.136 0.673
Hg -0.125 -2.837 5.714
Hg 3.619 -2.746 -0.241
Cd 0.565 -0.309 -0.271
In 2.418 -4.074 4.196
In -1.714 -4.089 3.617
Ga 1.481 -4.740 6.939
Ga 1.785 -4.823 -0.354
```

Computed properties:
E_form   0.0930 eV/atom

---

(21)
# Cd2In7Ga2Hg

A relaxed structure of Cd2In7Ga2Hg (PBE, Alexandria via LeMat-Bulk).

```
12
Lattice="5.666 0.000 0.000 0.000 5.732 0.326 -2.833 -2.268 9.282" Properties=species:S:1:pos:R:3 pbc="T T T"
In 2.833 3.606 6.275
In 0.000 0.599 9.445
In 0.000 2.808 1.802
In 2.833 0.076 1.646
In 0.000 -0.142 3.333
In 0.000 3.390 7.962
In 2.833 0.656 7.807
Cd 2.833 0.671 4.703
Cd 0.000 2.793 4.905
Ga 2.833 3.151 3.202
Ga 0.000 0.314 6.406
Hg 0.000 5.732 0.326
```

Computed properties:
E_form   0.0477 eV/atom

---

Number 1: total energy -1.724 eV/atom. Number 2: total energy -0.821 eV/atom. Number 3: total energy -1.204 eV/atom. Number 4: total energy -1.129 eV/atom. Number 5: total energy -1.850 eV/atom. Number 6: total energy -1.571 eV/atom. Number 7: total energy -1.331 eV/atom. Number 8: total energy -1.653 eV/atom. Number 9: total energy -1.356 eV/atom. Number 10: total energy -3.350 eV/atom. Number 11: total energy -3.311 eV/atom. Number 12: total energy -2.548 eV/atom. Number 13: total energy -2.066 eV/atom. Number 14: total energy -1.534 eV/atom. Number 15: total energy -1.212 eV/atom. Number 16: total energy -1.992 eV/atom. Number 17: total energy -1.256 eV/atom. Number 18: total energy -1.840 eV/atom. Number 19: total energy -1.205 eV/atom. Number 20: total energy -1.120 eV/atom. Number 21: total energy -2.232 eV/atom.